#w
A plane-wave DFT calculation with PBE was carried out for a relaxed B3AuS crystal.

The structure in POSCAR format:
```
B3AuS
1.0
-0.588 -2.227 -3.107
1.840 -2.920 1.745
-3.351 -1.212 1.504
Au B S
1 3 1
direct
0.500 0.500 0.500 Au
0.000 0.500 0.000 B
0.500 0.000 0.000 B
0.000 0.000 0.500 B
0.000 0.000 0.000 S
```

Output
D(E_F) = 1.84 states/eV/f.u.

---

#x
A plane-wave DFT calculation with PBE was carried out for a relaxed B3AuS crystal.

The structure in POSCAR format:
```
B3AuS
1.0
-3.159 2.355 -1.467
-1.487 -3.314 -2.117
-2.342 -1.072 3.323
B S Au
3 1 1
direct
0.000 0.000 0.500 B
0.000 0.500 0.000 B
0.500 0.000 0.000 B
0.500 0.500 0.500 S
0.000 0.000 0.000 Au
```

Output
D(E_F) = 0.02 states/eV/f.u.

---

Order of stability, best first: #w, #x

---

#w
A plane-wave DFT calculation with PBE was carried out for a relaxed BAuS3 crystal.

The structure in POSCAR format:
```
BAuS3
1.0
4.848 0.000 0.000
0.000 4.848 0.000
0.000 0.000 4.848
S Au B
3 1 1
direct
0.000 0.000 0.500 S
0.500 0.000 0.000 S
0.000 0.500 0.000 S
0.000 0.000 0.000 Au
0.500 0.500 0.500 B
```

Output
D(E_F) = 4.51 states/eV/f.u.

---

#x
A plane-wave DFT calculation with PBE was carried out for a relaxed BAuS3 crystal.

The structure in POSCAR format:
```
BAuS3
1.0
4.221 0.000 0.000
0.000 4.221 0.000
0.000 0.000 4.221
S B Au
3 1 1
direct
0.500 0.000 0.000 S
0.000 0.000 0.500 S
0.000 0.500 0.000 S
0.000 0.000 0.000 B
0.500 0.500 0.500 Au
```

Output
D(E_F) = 4.22 states/eV/f.u.

---

Order of stability, best first: #x, #w

---

#w
A plane-wave DFT calculation with PBE was carried out for a relaxed BSb2Au2 crystal.

The structure in POSCAR format:
```
BSb2Au2
1.0
-5.230 -2.473 0.316
2.482 -5.234 0.130
-1.241 -3.707 3.574
Sb Au B
2 2 1
direct
0.250 0.750 0.500 Sb
0.750 0.250 0.500 Sb
0.702 0.702 0.596 Au
0.298 0.298 0.404 Au
0.000 0.000 0.000 B
```

Output
D(E_F) = 2.89 states/eV/f.u.

---

#x
A plane-wave DFT calculation with PBE was carried out for a relaxed BSb2Au2 crystal.

The structure in POSCAR format:
```
BSb2Au2
1.0
-1.962 2.917 5.049
-2.146 -5.314 2.236
5.103 -0.986 2.553
Au Sb B
4 4 2
direct
0.250 0.250 0.000 Au
0.750 0.250 0.000 Au
0.750 0.750 0.000 Au
0.250 0.750 0.000 Au
0.749 0.751 0.500 Sb
0.249 0.749 0.500 Sb
0.751 0.251 0.500 Sb
0.251 0.249 0.500 Sb
0.000 0.000 0.000 B
0.500 0.500 0.000 B
```

Output
D(E_F) = 1.80 states/eV/f.u.

---

Order of stability, best first: #x, #w